Record 1
ZrSc2Si: optimized geometry, PBE-GGA.

Structure (POSCAR):
```
ZrSc2Si
1.0
2.924 -4.762 0.000
2.924 4.762 0.000
-0.945 0.000 2.932
Zr Sc Si
1 2 1
Direct
0.000 0.000 0.000 Zr
0.000 0.500 0.500 Sc
0.500 0.000 0.500 Sc
0.500 0.500 0.000 Si
```

Results
calculated volume = 20.41 A^3/atom
ΔE_f (raw) = -0.7 eV per formula unit
electronic total energy = -6.8227 eV/atom
SG = C2/m, No. 12


Record 2
Ba4CoIr: optimized geometry, PBE-GGA.

Structure (POSCAR):
```
Ba4CoIr
1.0
0.000 4.766 4.766
4.766 0.000 4.766
4.766 4.766 0.000
Ba Co Ir
4 1 1
Direct
0.376 0.376 0.376 Ba
0.376 0.376 0.873 Ba
0.376 0.873 0.376 Ba
0.873 0.376 0.376 Ba
0.000 0.000 0.000 Co
0.750 0.750 0.750 Ir
```

Results
calculated volume = 36.10 A^3/atom
electronic total energy = -2.6515 eV/atom
SG = F-43m, No. 216
formation energy = 1.29 eV per atom


Record 3
Co2CuAu: optimized geometry, PBE-GGA.

Structure (POSCAR):
```
Co2CuAu
1.0
-1.831 1.831 3.916
1.831 -1.831 3.916
1.831 1.831 -3.916
Co Cu Au
2 1 1
Direct
0.250 0.750 0.500 Co
0.750 0.250 0.500 Co
0.000 0.000 0.000 Cu
0.500 0.500 0.000 Au
```

Results
calculated volume = 13.13 A^3/atom
electronic total energy = -5.1880 eV/atom
SG = I4/mmm, No. 139
formation energy = 0.21 eV per atom


Record 4
CeGdDy: optimized geometry, PBE-GGA.

Structure (POSCAR):
```
CeGdDy
1.0
3.524 0.000 0.000
-1.762 3.052 0.000
0.000 0.000 8.614
Ce Gd Dy
1 1 1
Direct
0.000 0.000 0.000 Ce
0.333 0.667 0.673 Gd
0.667 0.333 0.327 Dy
```

Results
calculated volume = 30.88 A^3/atom
electronic total energy = -8.1423 eV/atom
energy relative to the lowest polymorph listed for this composition = 0 kJ/mol of formula units
SG = P3m1, No. 156
formation energy = 0.06 eV per atom


Record 5
Hg2HS: optimized geometry, PBE-GGA.

Structure (POSCAR):
```
Hg2HS
1.0
0.000 3.315 3.315
3.315 0.000 3.315
3.315 3.315 0.000
Hg H S
2 1 1
Direct
0.250 0.250 0.250 Hg
0.750 0.750 0.750 Hg
0.000 0.000 0.000 H
0.500 0.500 0.500 S
```

Results
calculated volume = 18.21 A^3/atom
electronic total energy = -1.3769 eV/atom
energy relative to the lowest polymorph listed for this composition = 146 kJ/mol of formula units
SG = Fm-3m, No. 225


Record 6
PmGd2Pb: optimized geometry, PBE-GGA.

Structure (POSCAR):
```
PmGd2Pb
1.0
1.788 1.032 12.178
-1.788 1.032 12.178
0.000 -2.065 12.178
Pm Gd Pb
1 2 1
Direct
0.000 0.000 0.000 Pm
0.412 0.412 0.412 Gd
0.588 0.588 0.588 Gd
0.500 0.500 0.500 Pb
```

Results
calculated volume = 33.72 A^3/atom
electronic total energy = -9.1041 eV/atom
energy relative to the lowest polymorph listed for this composition = 148 kJ/mol of formula units
SG = R-3m, No. 166
formation energy = 0.05 eV per atom


Record 7
YPbBr2: optimized geometry, PBE-GGA.

Structure (POSCAR):
```
YPbBr2
1.0
3.976 0.000 0.000
0.000 3.976 0.000
0.000 0.000 7.347
Y Pb Br
1 1 2
Direct
0.000 0.000 0.000 Y
0.500 0.500 0.694 Pb
0.000 0.000 0.390 Br
0.500 0.500 0.118 Br
```

Results
calculated volume = 29.04 A^3/atom
ΔE_f (raw) = -3.6 eV per formula unit
electronic total energy = -4.2712 eV/atom
energy relative to the lowest polymorph listed for this composition = 52 kJ/mol of formula units
SG = P4mm, No. 99


Record 8
Ca12Ga3H5: optimized geometry, PBE-GGA.

Structure (POSCAR):
```
Ca12Ga3H5
1.0
-7.978 7.978 7.978
7.978 -7.978 7.978
7.978 7.978 -7.978
Ca Ga H
48 12 20
Direct
0.022 0.212 0.120 Ca
0.022 0.310 0.902 Ca
0.092 0.712 0.690 Ca
0.092 0.880 0.402 Ca
0.098 0.620 0.408 Ca
0.098 0.978 0.690 Ca
0.120 0.022 0.212 Ca
0.120 0.598 0.908 Ca
0.190 0.212 0.592 Ca
0.190 0.478 0.598 Ca
0.212 0.120 0.022 Ca
0.212 0.592 0.190 Ca
0.288 0.310 0.908 Ca
0.288 0.478 0.380 Ca
0.310 0.902 0.022 Ca
0.310 0.908 0.288 Ca
0.380 0.288 0.478 Ca
0.380 0.592 0.902 Ca
0.402 0.092 0.880 Ca
0.402 0.810 0.522 Ca
0.408 0.098 0.620 Ca
0.408 0.810 0.788 Ca
0.478 0.380 0.288 Ca
0.478 0.598 0.190 Ca
0.522 0.402 0.810 Ca
0.522 0.620 0.712 Ca
0.592 0.190 0.212 Ca
0.592 0.902 0.380 Ca
0.598 0.190 0.478 Ca
0.598 0.908 0.120 Ca
0.620 0.408 0.098 Ca
0.620 0.712 0.522 Ca
0.690 0.092 0.712 Ca
0.690 0.098 0.978 Ca
0.712 0.522 0.620 Ca
0.712 0.690 0.092 Ca
0.788 0.408 0.810 Ca
0.788 0.880 0.978 Ca
0.810 0.522 0.402 Ca
0.810 0.788 0.408 Ca
0.880 0.402 0.092 Ca
0.880 0.978 0.788 Ca
0.902 0.022 0.310 Ca
0.902 0.380 0.592 Ca
0.908 0.120 0.598 Ca
0.908 0.288 0.310 Ca
0.978 0.690 0.098 Ca
0.978 0.788 0.880 Ca
0.125 0.250 0.375 Ga
0.125 0.375 0.750 Ga
0.250 0.375 0.125 Ga
0.250 0.875 0.625 Ga
0.375 0.125 0.250 Ga
0.375 0.750 0.125 Ga
0.625 0.250 0.875 Ga
0.625 0.875 0.750 Ga
0.750 0.125 0.375 Ga
0.750 0.625 0.875 Ga
0.875 0.625 0.250 Ga
0.875 0.750 0.625 Ga
0.000 0.000 0.000 H
0.000 0.000 0.500 H
0.000 0.500 0.000 H
0.000 0.500 0.500 H
0.125 0.750 0.875 H
0.125 0.875 0.250 H
0.250 0.125 0.875 H
0.250 0.625 0.375 H
0.375 0.250 0.625 H
0.375 0.625 0.750 H
0.500 0.000 0.000 H
0.500 0.000 0.500 H
0.500 0.500 0.000 H
0.500 0.500 0.500 H
0.625 0.375 0.250 H
0.625 0.750 0.375 H
0.750 0.375 0.625 H
0.750 0.875 0.125 H
0.875 0.125 0.750 H
0.875 0.250 0.125 H
```

Results
calculated volume = 25.39 A^3/atom
electronic total energy = -2.8041 eV/atom
SG = Ia-3d, No. 230